Model w:
The following is a DFT calculation (PBE-GGA) of an optimized crystal structure of Tc2HgS.

Geometry as CIF:
```
data_Tc2HgS
_symmetry_space_group_name_H-M 'F m -3 m'
_symmetry_Int_Tables_number 225
_symmetry_space_group_name_Hall '-F 4 2 3'
_cell_length_a 6.292
_cell_length_b 6.292
_cell_length_c 6.292
_cell_angle_alpha 90.00
_cell_angle_beta 90.00
_cell_angle_gamma 90.00
loop_
_atom_site_label
_atom_site_type_symbol
_atom_site_fract_x
_atom_site_fract_y
_atom_site_fract_z
Tc1 Tc 0.250 0.250 0.250
Hg1 Hg 0.000 0.000 0.000
S1 S 0.000 0.000 0.500
```

calculated density: 11.43 g cm⁻³

Model x:
The following is a DFT calculation (PBE-GGA) of an optimized crystal structure of Tc2HgS.

Geometry as CIF:
```
data_Tc2HgS
_symmetry_space_group_name_H-M 'I -4 2 d'
_symmetry_Int_Tables_number 122
_symmetry_space_group_name_Hall 'I -4 2bw'
_cell_length_a 6.941
_cell_length_b 6.941
_cell_length_c 5.634
_cell_angle_alpha 90.00
_cell_angle_beta 90.00
_cell_angle_gamma 90.00
loop_
_atom_site_label
_atom_site_type_symbol
_atom_site_fract_x
_atom_site_fract_y
_atom_site_fract_z
Tc1 Tc 0.174 0.250 0.125
Hg1 Hg 0.000 0.000 0.500
S1 S 0.000 0.000 0.000
```

calculated density: 10.49 g cm⁻³

The most stable arrangement is model x, and the next structure is 27.7 kJ/mol of atoms less stable.

Model w:
The following is a DFT calculation (PBE-GGA) of an optimized crystal structure of TcHg3S.

Geometry as CIF:
```
data_TcHg3S
_symmetry_space_group_name_H-M 'P m -3 m'
_symmetry_Int_Tables_number 221
_symmetry_space_group_name_Hall '-P 4 2 3'
_cell_length_a 5.348
_cell_length_b 5.348
_cell_length_c 5.348
_cell_angle_alpha 90.00
_cell_angle_beta 90.00
_cell_angle_gamma 90.00
loop_
_atom_site_label
_atom_site_type_symbol
_atom_site_fract_x
_atom_site_fract_y
_atom_site_fract_z
Tc1 Tc 0.000 0.000 0.000
Hg1 Hg 0.000 0.000 0.500
S1 S 0.500 0.500 0.500
```

calculated density: 7.94 g cm⁻³

Model x:
The following is a DFT calculation (PBE-GGA) of an optimized crystal structure of TcHg3S.

Geometry as CIF:
```
data_TcHg3S
_symmetry_space_group_name_H-M 'P m -3 m'
_symmetry_Int_Tables_number 221
_symmetry_space_group_name_Hall '-P 4 2 3'
_cell_length_a 5.203
_cell_length_b 5.203
_cell_length_c 5.203
_cell_angle_alpha 90.00
_cell_angle_beta 90.00
_cell_angle_gamma 90.00
loop_
_atom_site_label
_atom_site_type_symbol
_atom_site_fract_x
_atom_site_fract_y
_atom_site_fract_z
Tc1 Tc 0.000 0.000 0.000
Hg1 Hg 0.000 0.500 0.500
S1 S 0.500 0.500 0.500
```

calculated density: 8.63 g cm⁻³

The most stable arrangement is model w, and the next structure is 23.5 kJ/mol of atoms less stable.

Model w:
The following is a DFT calculation (PBE-GGA) of an optimized crystal structure of HgTe2S2.

Geometry as CIF:
```
data_HgTe2S2
_symmetry_space_group_name_H-M 'P 4/m b m'
_symmetry_Int_Tables_number 127
_symmetry_space_group_name_Hall '-P 4 2ab'
_cell_length_a 9.179
_cell_length_b 9.179
_cell_length_c 3.340
_cell_angle_alpha 90.00
_cell_angle_beta 90.00
_cell_angle_gamma 90.00
loop_
_atom_site_label
_atom_site_type_symbol
_atom_site_fract_x
_atom_site_fract_y
_atom_site_fract_z
Hg1 Hg 0.000 0.000 0.000
Te1 Te 0.246 0.254 0.500
S1 S 0.109 0.609 0.000
```

calculated density: 6.14 g cm⁻³

Model x:
The following is a DFT calculation (PBE-GGA) of an optimized crystal structure of HgTe2S2.

Geometry as CIF:
```
data_HgTe2S2
_symmetry_space_group_name_H-M 'I 4/m m m'
_symmetry_Int_Tables_number 139
_symmetry_space_group_name_Hall '-I 4 2'
_cell_length_a 4.671
_cell_length_b 4.671
_cell_length_c 12.780
_cell_angle_alpha 90.00
_cell_angle_beta 90.00
_cell_angle_gamma 90.00
loop_
_atom_site_label
_atom_site_type_symbol
_atom_site_fract_x
_atom_site_fract_y
_atom_site_fract_z
Hg1 Hg 0.000 0.000 0.000
Te1 Te 0.000 0.500 0.250
S1 S 0.000 0.000 0.425
```

calculated density: 6.19 g cm⁻³

The most stable arrangement is model w, and the next structure is 6.6 kJ/mol of atoms less stable.

Model w:
The following is a DFT calculation (PBE-GGA) of an optimized crystal structure of HgTeS3.

Geometry as CIF:
```
data_HgTeS3
_symmetry_space_group_name_H-M 'P m -3 m'
_symmetry_Int_Tables_number 221
_symmetry_space_group_name_Hall '-P 4 2 3'
_cell_length_a 5.073
_cell_length_b 5.073
_cell_length_c 5.073
_cell_angle_alpha 90.00
_cell_angle_beta 90.00
_cell_angle_gamma 90.00
loop_
_atom_site_label
_atom_site_type_symbol
_atom_site_fract_x
_atom_site_fract_y
_atom_site_fract_z
Hg1 Hg 0.000 0.000 0.000
Te1 Te 0.500 0.500 0.500
S1 S 0.000 0.500 0.500
```

calculated density: 5.40 g cm⁻³

Model x:
The following is a DFT calculation (PBE-GGA) of an optimized crystal structure of HgTeS3.

Geometry as CIF:
```
data_HgTeS3
_symmetry_space_group_name_H-M 'R -3'
_symmetry_Int_Tables_number 148
_symmetry_space_group_name_Hall '-R 3'
_cell_length_a 6.7873
_cell_length_b 6.7873
_cell_length_c 20.0744
_cell_angle_alpha 90.00
_cell_angle_beta 90.00
_cell_angle_gamma 120.00
loop_
_atom_site_label
_atom_site_type_symbol
_atom_site_fract_x
_atom_site_fract_y
_atom_site_fract_z
Hg1 Hg 0.0000 0.0000 0.0817
Te1 Te 0.0000 0.0000 0.3174
S1 S 0.0123 0.6356 0.9148
```

calculated density: 5.28 g cm⁻³

The most stable arrangement is model x, and the next structure is 49.6 kJ/mol of atoms less stable.